Compound: BaSc2AgS4
Source: Alexandria
Functional: PBE
Structure: optimized geometry

The structure belongs to space group Cmcm (No. 63); the cell edges are 4.009, 13.094 and 13.491 Å and the angles 90.00°, 90.00° and 90.00°. The distinct sites, in fractional coordinates, are Ba at (0.000, 0.128, 0.250), Sc at (0.000, 0.378, 0.055), Ag at (0.000, 0.151, 0.750), S at (0.000, 0.000, 0.000), S at (0.000, 0.262, 0.600) and S at (0.000, 0.453, 0.250).

The calculation puts the raw formation energy at -1.5199 eV per atom.